TbS2 | PBE | optimized geometry

Values from the calculation:
* calculated volume: 477.65 Å³ per cell
* electronic total energy: -4.377 eV per atom

Unit cell a=7.8169 b=7.8169 c=7.8169 alpha=90.00 beta=90.00 gamma=90.00
Space group Fd-3m (No. 227, origin choice 2)
One atom of each set of equivalent atoms:
Tb (0.1250, 0.1250, 0.1250) x8
S (0.0000, 0.0000, 0.5000) x16

Tb6S5 | PBE | optimized geometry

Values from the calculation:
* calculated volume: 504.07 Å³ per cell
* electronic total energy: -6.235 eV per atom

Unit cell a=6.7785 b=11.6685 c=6.7599 alpha=90.00 beta=109.48 gamma=90.00
Space group C2/m (No. 12)
One atom of each set of equivalent atoms:
Tb (0.2478, 0.0000, 0.2568) x4
Tb (0.2489, 0.1687, 0.7489) x8
S (0.0000, 0.0000, 0.5000) x2
S (0.0000, 0.1656, 0.0000) x4
S (0.0000, 0.3315, 0.5000) x4

TbS3 | PBE | optimized geometry

Values from the calculation:
* calculated volume: 245.36 Å³ per cell
* electronic total energy: -4.895 eV per atom

Unit cell a=4.6199 b=10.1570 c=5.2289 alpha=90.00 beta=90.00 gamma=90.00
Space group Cmmm (No. 65)
One atom of each set of equivalent atoms:
Tb (0.0000, 0.0000, 0.0000) x2
S (0.0000, 0.0000, 0.5000) x2
S (0.2500, 0.2500, 0.0000) x4

Tb5S7 | PBE | optimized geometry

Values from the calculation:
* calculated volume: 558.63 Å³ per cell
* electronic total energy: -6.416 eV per atom

Unit cell a=12.9351 b=3.8286 c=11.6594 alpha=90.00 beta=104.66 gamma=90.00
Space group C2/m (No. 12)
One atom of each set of equivalent atoms:
Tb (0.0000, 0.0000, 0.0000) x2
Tb (0.1118, 0.0000, 0.4211) x4
Tb (0.1998, 0.5000, 0.8118) x4
S (0.0000, 0.5000, 0.5000) x2
S (0.0419, 0.0000, 0.7850) x4
S (0.1593, 0.5000, 0.0510) x4
S (0.2406, 0.5000, 0.3521) x4

TbS2 | PBE | optimized geometry

Values from the calculation:
* calculated volume: 244.83 Å³ per cell
* electronic total energy: -6.028 eV per atom

Unit cell a=7.9420 b=3.9195 c=7.8651 alpha=90.00 beta=90.18 gamma=90.00
Space group P2_1/c (No. 14)
One atom of each set of equivalent atoms:
Tb (0.2249, 0.2135, 0.3716) x4
S (0.1314, 0.7395, 0.1257) x4
S (0.4970, 0.6625, 0.3888) x4

TbS2 | PBE | optimized geometry

Values from the calculation:
* calculated volume: 119.94 Å³ per cell
* electronic total energy: -5.972 eV per atom

Unit cell a=3.8700 b=3.8700 c=8.0087 alpha=90.00 beta=90.00 gamma=90.00
Space group P4/nmm (No. 129, origin choice 2)
One atom of each set of equivalent atoms:
Tb (0.2500, 0.2500, 0.2263) x2
S (0.2500, 0.2500, 0.8681) x2
S (0.2500, 0.7500, 0.5000) x2

Tb3S2 | PBE | optimized geometry

Values from the calculation:
* calculated volume: 367.52 Å³ per cell
* electronic total energy: -6.007 eV per atom
* distance to the lowest polymorph of the same formula: 0.0 kJ per mole of atoms

Unit cell a=3.8457 b=3.8457 c=28.6949 alpha=90.00 beta=90.00 gamma=120.00
Space group R-3m (No. 166, hexagonal axes)
One atom of each set of equivalent atoms:
Tb (0.0000, 0.0000, 0.0000) x3
Tb (0.0000, 0.0000, 0.2169) x6
S (0.0000, 0.0000, 0.3906) x6

Tb4S5 | PBE | optimized geometry

Values from the calculation:
* calculated volume: 388.18 Å³ per cell
* electronic total energy: -5.879 eV per atom

Unit cell a=13.8075 b=8.0899 c=3.5991 alpha=90.00 beta=105.08 gamma=90.00
Space group C2/m (No. 12)
One atom of each set of equivalent atoms:
Tb (0.1312, 0.2139, 0.1305) x8
S (0.0000, 0.0000, 0.5000) x2
S (0.0000, 0.3567, 0.5000) x4
S (0.2470, 0.0000, 0.7471) x4

Computed uncorrected formation energy, in the same sequence as the records: -0.082, -1.833, -0.642, -2.079, -1.733, -1.677, -1.578, -1.528 eV per atom.